Dy3Y3Sc, relaxed, DFT GGA-PBE; DFT formation energy = 162 meV per atom; M_tot = 0.000 μB/atom; space-group type = R-3; E_tot = -76.8 eV/cell; distance to the lowest polymorph of the same formula = 0.143 eV per atom
1.0
5.8609 0.0000 1.8835
2.6278 5.2388 1.8835
-1.3175 -0.8131 14.1603
Dy Y Sc
6 6 2
Cartesian
2.9241 4.2228 7.6237
3.1469 0.7204 7.0007
5.9733 2.4899 8.2599
1.1979 1.9357 9.6673
4.0242 3.7053 10.9265
4.2471 0.2028 10.3035
5.9524 1.2647 4.9636
5.7422 4.7535 5.5879
2.9204 3.0013 4.3337
4.2507 1.4243 13.5936
1.4290 -0.3278 12.3393
1.2188 3.1609 12.9637
4.3417 2.6795 16.6712
2.8295 1.7462 1.2561